Entry 1:
Density functional theory data (PBE) for an optimized crystal structure of YSiS2.

Unit cell a=3.8705 b=3.8705 c=23.9664 alpha=90.00 beta=90.00 gamma=120.00
Space group R-3m (No. 166, hexagonal axes)
Asymmetric unit:
Y  0.0000  0.0000  0.0000 x3
Si  0.0000  0.0000  0.5000 x3
S  0.0000  0.0000  0.3978 x6

The formation energy without anion corrections comes out at -83 kJ/mol of atoms. The total energy comes out at -0.4331 Ry/atom.

=====

Entry 2:
Density functional theory data (PBE) for an optimized crystal structure of YSiS2.

Unit cell a=5.1439 b=5.1439 c=14.9049 alpha=90.00 beta=90.00 gamma=90.00
Space group I-42d (No. 122)
Asymmetric unit:
Y  0.0000  0.0000  0.0000 x4
Si  0.0000  0.0000  0.5000 x4
S  0.2259  0.2500  0.6250 x8

The formation energy without anion corrections comes out at -61 kJ/mol of atoms. The total energy comes out at -0.4164 Ry/atom.

=====

Entry 3:
Density functional theory data (PBE) for an optimized crystal structure of Y6ZnSi2S14.

Unit cell a=9.8828 b=9.8828 c=5.6874 alpha=90.00 beta=90.00 gamma=120.00
Space group P3 (No. 143)
Asymmetric unit:
Y  0.0239  0.5610  0.0000 x3
Y  0.3101  0.1059  0.5026 x3
Zn  0.6667  0.3333  0.2673 x1
Si  0.0000  0.0000  0.9185 x1
Si  0.3333  0.6667  0.4112 x1
S  0.0000  0.0000  0.2889 x1
S  0.0824  0.8553  0.7678 x3
S  0.1886  0.4394  0.2618 x3
S  0.3333  0.6667  0.7823 x1
S  0.4172  0.1767  0.0420 x3
S  0.5066  0.4244  0.5235 x3

The formation energy without anion corrections comes out at -153 kJ/mol of atoms. The total energy comes out at -0.4639 Ry/atom.

=====

Entry 4:
Density functional theory data (PBE) for an optimized crystal structure of Zn3SiS.

Unit cell a=4.6731 b=4.6731 c=4.6731 alpha=90.00 beta=90.00 gamma=90.00
Space group Pm-3m (No. 221)
Asymmetric unit:
Zn  0.0000  0.0000  0.5000 x3
Si  0.5000  0.5000  0.5000 x1
S  0.0000  0.0000  0.0000 x1

The formation energy without anion corrections comes out at 60 kJ/mol of atoms. The total energy comes out at -0.1512 Ry/atom. The calculation puts the energy above the lowest structure with this stoichiometry at 286 meV per atom.

=====

Entry 5:
Density functional theory data (PBE) for an optimized crystal structure of ZnSi3S.

Unit cell a=4.5788 b=4.5788 c=4.5788 alpha=90.00 beta=90.00 gamma=90.00
Space group Pm-3m (No. 221)
Asymmetric unit:
Zn  0.0000  0.0000  0.0000 x1
Si  0.0000  0.5000  0.5000 x3
S  0.5000  0.5000  0.5000 x1

The formation energy without anion corrections comes out at 88 kJ/mol of atoms. The total energy comes out at -0.2519 Ry/atom. The calculation puts the energy above the lowest structure with this stoichiometry at 0 meV per atom.

=====

Entry 6:
Density functional theory data (PBE) for an optimized crystal structure of ZnSi3S.

Unit cell a=4.6734 b=4.6734 c=4.6734 alpha=90.00 beta=90.00 gamma=90.00
Space group Pm-3m (No. 221)
Asymmetric unit:
Zn  0.0000  0.0000  0.0000 x1
Si  0.0000  0.0000  0.5000 x3
S  0.5000  0.5000  0.5000 x1

The formation energy without anion corrections comes out at 99 kJ/mol of atoms. The total energy comes out at -0.2434 Ry/atom. The calculation puts the energy above the lowest structure with this stoichiometry at 116 meV per atom.

=====

Copy entry 6 word for word.
Density functional theory data (PBE) for an optimized crystal structure of ZnSi3S.

Unit cell a=4.6734 b=4.6734 c=4.6734 alpha=90.00 beta=90.00 gamma=90.00
Space group Pm-3m (No. 221)
Asymmetric unit:
Zn  0.0000  0.0000  0.0000 x1
Si  0.0000  0.0000  0.5000 x3
S  0.5000  0.5000  0.5000 x1

The formation energy without anion corrections comes out at 99 kJ/mol of atoms. The total energy comes out at -0.2434 Ry/atom. The calculation puts the energy above the lowest structure with this stoichiometry at 116 meV per atom.

=====

Look up the formation energy without anion corrections of the third one.
-153 kJ/mol of atoms